DFT (PBE) results for a geometry-optimized SrLiMg2Cd2 structure.

Unit cell a=4.9982 b=4.9982 c=7.2992 alpha=90.00 beta=90.00 gamma=120.00
Fractional coordinates of all 6 atoms:
Sr: 0.0000 0.0000 0.0000
Li: 0.0000 0.0000 0.5000
Mg: 0.3333 0.6667 0.6715
Mg: 0.6667 0.3333 0.3285
Cd: 0.3333 0.6667 0.2708
Cd: 0.6667 0.3333 0.7292

Results
E, eV per formula unit: -9.8
Calculated density, g/cm3: 3.9
Space-group type: No. 164
V, Å³ per cell: 158


DFT (PBE) results for a geometry-optimized Pm2Te5Pd4 structure.

Unit cell a=17.7655 b=17.7655 c=17.7655 alpha=14.35 beta=14.35 gamma=14.35
Fractional coordinates of all 11 atoms:
Pm: 0.1285 0.1285 0.1285
Pm: 0.8715 0.8715 0.8715
Te: 0.2380 0.2380 0.2380
Te: 0.3676 0.3676 0.3676
Te: 0.5000 0.5000 0.5000
Te: 0.6324 0.6324 0.6324
Te: 0.7620 0.7620 0.7620
Pd: 0.3173 0.3173 0.3173
Pd: 0.4205 0.4205 0.4205
Pd: 0.5795 0.5795 0.5795
Pd: 0.6827 0.6827 0.6827

Results
E, eV per formula unit: -54.5
Calculated density, g/cm3: 7.5
E_form (uncorrected), eV/atom: -0.7747
Space-group type: No. 166
V, Å³ per cell: 300


DFT (PBE) results for a geometry-optimized Au5Cl structure.

Unit cell a=4.4333 b=12.3183 c=4.1279 alpha=90.00 beta=90.00 gamma=90.00
Fractional coordinates of all 12 atoms:
Au: 0.0000 0.0000 0.0000
Au: 0.0000 0.1684 0.5000
Au: 0.0000 0.3276 0.0000
Au: 0.0000 0.6724 0.0000
Au: 0.0000 0.8316 0.5000
Au: 0.5000 0.1724 0.0000
Au: 0.5000 0.3316 0.5000
Au: 0.5000 0.5000 0.0000
Au: 0.5000 0.6684 0.5000
Au: 0.5000 0.8276 0.0000
Cl: 0.0000 0.5000 0.5000
Cl: 0.5000 0.0000 0.5000

Results
E, eV per formula unit: -17.1
Calculated density, g/cm3: 15.0
E above lowest polymorph, eV per formula unit: 0.438
E_form (uncorrected), eV/atom: 0.1897
Space-group type: No. 65
V, Å³ per cell: 225


DFT (PBE) results for a geometry-optimized Pr2NdIn2Ag2 structure.

Unit cell a=9.6357 b=9.6357 c=9.6357 alpha=29.66 beta=29.66 gamma=29.66
Fractional coordinates of all 7 atoms:
Pr: 0.1261 0.1261 0.1261
Pr: 0.8739 0.8739 0.8739
Nd: 0.0000 0.0000 0.0000
In: 0.2633 0.2633 0.2633
In: 0.7367 0.7367 0.7367
Ag: 0.3961 0.3961 0.3961
Ag: 0.6039 0.6039 0.6039

Results
E, eV per formula unit: -27.7
Calculated density, g/cm3: 7.5
Space-group type: No. 166
V, Å³ per cell: 194


DFT (PBE) results for a geometry-optimized La2Dy7Tm3 structure.

Unit cell a=19.1760 b=19.1760 c=3.6098 alpha=90.00 beta=90.00 gamma=162.92
Fractional coordinates of all 12 atoms:
La: 0.1475 0.8525 0.0000
La: 0.8525 0.1475 0.0000
Dy: 0.0000 0.0000 0.0000
Dy: 0.0700 0.9300 0.5000
Dy: 0.2308 0.7692 0.0000
Dy: 0.4121 0.5879 0.0000
Dy: 0.5879 0.4121 0.0000
Dy: 0.7692 0.2308 0.0000
Dy: 0.9300 0.0700 0.5000
Tm: 0.3125 0.6875 0.5000
Tm: 0.5000 0.5000 0.5000
Tm: 0.6875 0.3125 0.5000

Results
E, eV per formula unit: -54.0
Calculated density, g/cm3: 8.2
E above lowest polymorph, eV per formula unit: 0.537
Space-group type: No. 65
V, Å³ per cell: 390


DFT (PBE) results for a geometry-optimized TmTh5N6 structure.

Unit cell a=6.2692 b=6.2692 c=6.2762 alpha=99.57 beta=99.57 gamma=120.00
Fractional coordinates of all 12 atoms:
Tm: 0.0000 0.0000 0.0000
Th: 0.1659 0.8341 0.5000
Th: 0.3335 0.6665 0.0000
Th: 0.5000 0.5000 0.5000
Th: 0.6665 0.3335 0.0000
Th: 0.8341 0.1659 0.5000
N: 0.0800 0.4037 0.2409
N: 0.2416 0.2416 0.7553
N: 0.4037 0.0800 0.2409
N: 0.5963 0.9200 0.7591
N: 0.7584 0.7584 0.2447
N: 0.9200 0.5963 0.7591

Results
E, eV per formula unit: -110.5
Calculated density, g/cm3: 11.6
E_form (uncorrected), eV/atom: -1.5830
Space-group type: No. 12
V, Å³ per cell: 201


DFT (PBE) results for a geometry-optimized Mg2TcBr structure.

Unit cell a=7.5586 b=7.5586 c=5.9677 alpha=90.00 beta=90.00 gamma=90.00
Fractional coordinates of all 16 atoms:
Mg: 0.2451 0.2500 0.1250
Mg: 0.2500 0.7451 0.3750
Mg: 0.2500 0.7549 0.8750
Mg: 0.2549 0.2500 0.6250
Mg: 0.7451 0.7500 0.6250
Mg: 0.7500 0.2451 0.8750
Mg: 0.7500 0.2549 0.3750
Mg: 0.7549 0.7500 0.1250
Tc: 0.0000 0.0000 0.5000
Tc: 0.0000 0.5000 0.7500
Tc: 0.5000 0.0000 0.2500
Tc: 0.5000 0.5000 0.0000
Br: 0.0000 0.0000 0.0000
Br: 0.0000 0.5000 0.2500
Br: 0.5000 0.0000 0.7500
Br: 0.5000 0.5000 0.5000

Results
E, eV per formula unit: -13.1
Calculated density, g/cm3: 4.4
E above lowest polymorph, eV per formula unit: 2.214
E_form (uncorrected), eV/atom: 0.5241
Space-group type: No. 122
V, Å³ per cell: 341


DFT (PBE) results for a geometry-optimized Mg2Zn3 structure.

Unit cell a=12.8019 b=4.8619 c=13.5145 alpha=71.18 beta=21.07 gamma=87.75
Fractional coordinates of all 10 atoms:
Mg: 0.2743 0.7257 0.3287
Mg: 0.5787 0.9213 0.5243
Mg: 0.7257 0.2743 0.6713
Mg: 0.9213 0.5787 0.9757
Zn: 0.1900 0.9497 0.0150
Zn: 0.2154 0.2154 0.7846
Zn: 0.2350 0.4048 0.0600
Zn: 0.4048 0.2350 0.3003
Zn: 0.4654 0.4654 0.0346
Zn: 0.9497 0.1900 0.8452

Results
E, eV per formula unit: -7.1
Calculated density, g/cm3: 4.4
E above lowest polymorph, eV per formula unit: 0.229
Space-group type: No. 43
V, Å³ per cell: 183